(1)
Compound: MnTcIr2
Source: Alexandria
Functional: PBE
Structure: relaxed

```
data_MnTcIr2
_chemical_formula_sum 'Mn2 Tc2 Ir4'
_space_group_name_H-M_alt 'C 1 2/m 1'
_space_group_IT_number 12
_cell_length_a 9.008
_cell_length_b 2.718
_cell_length_c 4.660
_cell_angle_alpha 90.00
_cell_angle_beta 99.75
_cell_angle_gamma 90.00
loop_
_space_group_symop_operation_xyz
'x,y,z'
'-x,-y,-z'
'-x,y,-z'
'x,-y,z'
'x+1/2,y+1/2,z'
'-x+1/2,-y+1/2,-z'
'-x+1/2,y+1/2,-z'
'x+1/2,-y+1/2,z'
loop_
_atom_site_label
_atom_site_type_symbol
_atom_site_fract_x
_atom_site_fract_y
_atom_site_fract_z
_atom_site_occupancy
Mn1 Mn 0.000 0.000 0.000 1
Tc1 Tc 0.000 0.500 0.500 1
Ir1 Ir 0.249 0.000 0.750 1
```

## Properties
Total moment, μB per atom: 0.575
Distance to the lowest polymorph of the same formula, meV per atom: 68
Energy of formation from the pure elements, eV/f.u.: -0.4

---

(2)
Compound: KEuNb2O6
Source: Alexandria
Functional: PBE
Structure: relaxed

```
data_KEuNb2O6
_chemical_formula_sum 'K4 Eu4 Nb8 O24'
_space_group_name_H-M_alt 'F m -3 m'
_space_group_IT_number 225
_space_group_name_Hall '-F 4 2 3'
_cell_length_a 8.133
_cell_length_b 8.133
_cell_length_c 8.133
_cell_angle_alpha 90.00
_cell_angle_beta 90.00
_cell_angle_gamma 90.00
loop_
_atom_site_label
_atom_site_type_symbol
_atom_site_fract_x
_atom_site_fract_y
_atom_site_fract_z
_atom_site_occupancy
K1 K 0.000 0.000 0.000 1
Eu1 Eu 0.000 0.000 0.500 1
Nb1 Nb 0.250 0.250 0.250 1
O1 O 0.000 0.250 0.250 1
```

## Properties
Total moment, μB per atom: 0.680
Energy relative to the elements, uncorrected, eV/atom: -2.6218

---

(3)
Compound: Pr2ErZn2Sn2
Source: Alexandria
Functional: PBE
Structure: relaxed

```
data_Pr2ErZn2Sn2
_chemical_formula_sum 'Pr6 Er3 Zn6 Sn6'
_space_group_name_H-M_alt 'R -3 m'
_space_group_IT_number 166
_space_group_name_Hall '-R 3 2"'
_cell_length_a 4.6864
_cell_length_b 4.6864
_cell_length_c 28.6794
_cell_angle_alpha 90.00
_cell_angle_beta 90.00
_cell_angle_gamma 120.00
loop_
_atom_site_label
_atom_site_type_symbol
_atom_site_fract_x
_atom_site_fract_y
_atom_site_fract_z
_atom_site_occupancy
Pr1 Pr 0.0000 0.0000 0.1284 1
Er1 Er 0.0000 0.0000 0.0000 1
Zn1 Zn 0.0000 0.0000 0.4098 1
Sn1 Sn 0.0000 0.0000 0.2723 1
```

## Properties
Total moment, μB per atom: 0.000
Energy of formation from the pure elements, eV/f.u.: -2.4

---

(4)
Compound: Cd2Cu2Hg
Source: Alexandria
Functional: PBE
Structure: relaxed

```
data_Cd2Cu2Hg
_chemical_formula_sum 'Cd4 Cu4 Hg2'
_space_group_name_H-M_alt 'P 4/m b m'
_space_group_IT_number 127
_space_group_name_Hall '-P 4 2ab'
_cell_length_a 7.155
_cell_length_b 7.155
_cell_length_c 3.543
_cell_angle_alpha 90.00
_cell_angle_beta 90.00
_cell_angle_gamma 90.00
loop_
_atom_site_label
_atom_site_type_symbol
_atom_site_fract_x
_atom_site_fract_y
_atom_site_fract_z
_atom_site_occupancy
Cd1 Cd 0.162 0.338 0.000 1
Cu1 Cu 0.131 0.631 0.500 1
Hg1 Hg 0.000 0.000 0.500 1
```

## Properties
Total moment, μB per atom: 0.000
Distance to the lowest polymorph of the same formula, meV per atom: 0
Energy of formation from the pure elements, eV/f.u.: 0.4

---

(5)
Compound: La12HoEr7
Source: Alexandria
Functional: PBE
Structure: relaxed

```
data_La12HoEr7
_chemical_formula_sum 'La36 Ho3 Er21'
_space_group_name_H-M_alt 'R -3'
_space_group_IT_number 148
_space_group_name_Hall '-R 3'
_cell_length_a 12.4575
_cell_length_b 12.4575
_cell_length_c 15.4426
_cell_angle_alpha 90.00
_cell_angle_beta 90.00
_cell_angle_gamma 120.00
loop_
_atom_site_label
_atom_site_type_symbol
_atom_site_fract_x
_atom_site_fract_y
_atom_site_fract_z
_atom_site_occupancy
La1 La 0.0133 0.5744 0.2207 1
La2 La 0.0666 0.4699 0.5776 1
Ho1 Ho 0.0000 0.0000 0.5000 1
Er1 Er 0.0000 0.0000 0.0000 1
Er2 Er 0.0511 0.8677 0.3086 1
```

## Properties
Total moment, μB per atom: 0.000
Distance to the lowest polymorph of the same formula, meV per atom: 2
Energy of formation from the pure elements, eV/f.u.: 3.9

---

Q: Which of these has the highest total moment?
A: KEuNb2O6

---

Q: Which of these has the highest total moment?
A: KEuNb2O6

---

Q: Number 2 is which compound?
A: KEuNb2O6